(1)
A relaxed LiTe2Ir crystal. Source: Alexandria, functional PBE-GGA.

Computed properties:
Symmetry: No. 47
Final energy (eV/atom): -4.20
Formation energy from raw total energies (eV per atom): 0.06
Total moment (Bohr magnetons per cell): 0.0

Unit cell a=3.4538 b=3.3150 c=7.2933 alpha=90.00 beta=90.00 gamma=90.00
Element x y z (fractional)
Te1 0.0000 0.0000 0.4782
Ir1 0.5000 0.5000 0.2500
Te2 0.0000 0.0000 0.0218
Li1 0.5000 0.5000 0.7500


(2)
A relaxed LiTeIr2 crystal. Source: Alexandria, functional PBE-GGA.

Computed properties:
Symmetry: No. 44
Final energy (eV/atom): -5.55
Formation energy from raw total energies (eV per atom): 0.15
Total moment (Bohr magnetons per cell): 0.0

Unit cell a=5.8511 b=5.8511 c=5.8511 alpha=150.27 beta=135.38 gamma=54.54
Element x y z (fractional)
Ir1 0.0048 0.0048 0.0000
Li1 0.4914 0.4914 0.0000
Te1 0.2131 0.7131 0.5000
Ir2 0.7907 0.2907 0.5000


(3)
A relaxed LiTeIr2 crystal. Source: Alexandria, functional PBE-GGA.

Computed properties:
Symmetry: No. 99
Final energy (eV/atom): -5.47
Formation energy from raw total energies (eV per atom): 0.22
Total moment (Bohr magnetons per cell): 0.0

Unit cell a=2.9511 b=2.9511 c=8.0964 alpha=90.00 beta=90.00 gamma=89.98
Element x y z (fractional)
Te1 0.5000 0.5000 0.7729
Ir1 0.0000 0.0000 0.0313
Li1 0.0000 0.0000 0.4579
Ir2 0.5000 0.5000 0.2379


(4)
A relaxed Li3TeIr crystal. Source: Alexandria, functional PBE-GGA.

Computed properties:
Symmetry: No. 221
Final energy (eV/atom): -3.30
Formation energy from raw total energies (eV per atom): 0.25
Total moment (Bohr magnetons per cell): 0.0
E above lowest polymorph (meV per atom): 0.0

Unit cell a=4.6840 b=4.6840 c=4.6840 alpha=90.00 beta=90.00 gamma=90.00
Element x y z (fractional)
Li1 0.5000 0.0000 0.0000
Li2 0.0000 0.0000 0.5000
Li3 0.0000 0.5000 0.0000
Ir1 0.0000 0.0000 0.0000
Te1 0.5000 0.5000 0.5000


(5)
A relaxed LiTe2Ir crystal. Source: Alexandria, functional PBE-GGA.

Computed properties:
Symmetry: No. 8
Final energy (eV/atom): -4.44
Formation energy from raw total energies (eV per atom): -0.17
Total moment (Bohr magnetons per cell): 0.0

Unit cell a=4.6147 b=4.6147 c=6.9452 alpha=72.04 beta=72.04 gamma=43.57
Element x y z (fractional)
Ir1 0.5219 0.5219 0.5450
Te1 0.2707 0.2707 0.3688
Te2 0.9686 0.9686 0.8658
Li1 0.7388 0.7388 0.7203


(6)
A relaxed LiTeIr2 crystal. Source: Alexandria, functional PBE-GGA.

Computed properties:
Symmetry: No. 123
Final energy (eV/atom): -5.70
Formation energy from raw total energies (eV per atom): -0.01
Total moment (Bohr magnetons per cell): 0.0

Unit cell a=4.0759 b=4.0759 c=3.7100 alpha=90.00 beta=90.00 gamma=90.00
Element x y z (fractional)
Te1 0.0000 0.5000 0.5000
Li1 0.5000 0.0000 0.5000
Ir1 0.5000 0.5000 0.0000
Ir2 0.0000 0.0000 0.0000


(7)
A relaxed LiTe2Ir crystal. Source: Alexandria, functional PBE-GGA.

Computed properties:
Symmetry: No. 25
Final energy (eV/atom): -4.47
Formation energy from raw total energies (eV per atom): -0.21
Total moment (Bohr magnetons per cell): 0.0

Unit cell a=3.1203 b=3.8093 c=7.3958 alpha=90.00 beta=90.00 gamma=90.00
Element x y z (fractional)
Li1 0.5000 0.5000 0.7272
Te1 0.5000 0.5000 0.3526
Te2 0.0000 0.0000 0.8977
Ir1 0.0000 0.0000 0.5225


(8)
A relaxed LiTeIr2 crystal. Source: Alexandria, functional PBE-GGA.

Computed properties:
Symmetry: No. 6
Final energy (eV/atom): -5.62
Formation energy from raw total energies (eV per atom): 0.08
Total moment (Bohr magnetons per cell): 0.0

Unit cell a=4.1089 b=2.8946 c=5.7559 alpha=75.25 beta=90.00 gamma=90.00
Element x y z (fractional)
Ir1 0.5000 0.1923 0.2380
Te1 0.5000 0.9508 0.7237
Ir2 0.0000 0.7916 0.0462
Li1 0.0000 0.5653 0.4922


(9)
A relaxed LiTeIr2 crystal. Source: Alexandria, functional PBE-GGA.

Computed properties:
Symmetry: No. 99
Final energy (eV/atom): -5.52
Formation energy from raw total energies (eV per atom): 0.17
Total moment (Bohr magnetons per cell): 0.1

Unit cell a=3.4698 b=3.4698 c=5.3693 alpha=90.00 beta=90.00 gamma=90.00
Last column: magnetic moment on the atom in μB.
Element x y z (fractional)
Ir1 0.0000 0.0000 0.9849  0.01
Ir2 0.5000 0.5000 0.2747  0.11
Te1 0.5000 0.5000 0.7691  0.00
Li1 0.0000 0.0000 0.4714  0.00


(10)
A relaxed LiTe2Ir crystal. Source: Alexandria, functional PBE-GGA.

Computed properties:
Symmetry: No. 65
Final energy (eV/atom): -4.47
Formation energy from raw total energies (eV per atom): -0.21
Total moment (Bohr magnetons per cell): 0.0

Unit cell a=3.9503 b=5.2079 c=5.2110 alpha=70.38 beta=90.00 gamma=90.00
Element x y z (fractional)
Te1 0.0000 0.0502 0.0505
Li1 0.5000 0.7500 0.7500
Ir1 0.5000 0.2500 0.2500
Te2 0.0000 0.4498 0.4495


(11)
A relaxed LiTeIr2 crystal. Source: Alexandria, functional PBE-GGA.

Computed properties:
Symmetry: No. 139
Final energy (eV/atom): -5.73
Formation energy from raw total energies (eV per atom): -0.04
Total moment (Bohr magnetons per cell): 0.0

Unit cell a=4.6506 b=4.6506 c=4.6506 alpha=127.51 beta=127.46 gamma=77.47
Element x y z (fractional)
Te1 0.2500 0.7500 0.5000
Li1 0.7500 0.2500 0.5000
Ir1 0.0000 0.0000 0.0000
Ir2 0.5000 0.5000 0.0000


(12)
A relaxed LiTe2Ir crystal. Source: Alexandria, functional PBE-GGA.

Computed properties:
Symmetry: No. 71
Final energy (eV/atom): -4.47
Formation energy from raw total energies (eV per atom): -0.21
Total moment (Bohr magnetons per cell): 0.0

Unit cell a=6.6701 b=6.6701 c=6.6701 alpha=148.06 beta=140.72 gamma=51.49
Element x y z (fractional)
Ir1 0.2500 0.7500 0.5000
Te1 0.4056 0.4056 0.0000
Te2 0.0944 0.0944 0.0000
Li1 0.7500 0.2500 0.5000


(13)
A relaxed LiTeIr2 crystal. Source: Alexandria, functional PBE-GGA.

Computed properties:
Symmetry: No. 12
Final energy (eV/atom): -5.67
Formation energy from raw total energies (eV per atom): 0.03
Total moment (Bohr magnetons per cell): 0.0

Unit cell a=4.7385 b=4.7385 c=4.8133 alpha=82.35 beta=82.35 gamma=36.39
Element x y z (fractional)
Te1 0.2500 0.2500 0.2500
Ir1 0.9993 0.9993 0.9903
Ir2 0.5007 0.5007 0.5097
Li1 0.7500 0.7500 0.7500


(14)
A relaxed LiTeIr2 crystal. Source: Alexandria, functional PBE-GGA.

Computed properties:
Symmetry: No. 122
Final energy (eV/atom): -5.49
Formation energy from raw total energies (eV per atom): 0.20
Total moment (Bohr magnetons per cell): 0.0

Unit cell a=3.9741 b=3.9741 c=9.1503 alpha=77.46 beta=77.46 gamma=90.00
Element x y z (fractional)
Ir1 0.5943 0.1250 0.2500
Ir2 0.3750 0.4057 0.7500
Te1 0.0000 0.0000 0.0000
Te2 0.7500 0.2500 0.5000
Li1 0.2500 0.7500 0.5000
Ir3 0.1557 0.6250 0.2500
Ir4 0.8750 0.8443 0.7500
Li2 0.5000 0.5000 0.0000


(15)
A relaxed LiTe3Ir crystal. Source: Alexandria, functional PBE-GGA.

Computed properties:
Symmetry: No. 221
Final energy (eV/atom): -3.79
Formation energy from raw total energies (eV per atom): 0.25
Total moment (Bohr magnetons per cell): 0.0
E above lowest polymorph (meV per atom): 0.0

Unit cell a=5.3378 b=5.3378 c=5.3378 alpha=90.00 beta=90.00 gamma=90.00
Element x y z (fractional)
Te1 0.5000 0.0000 0.0000
Te2 0.0000 0.0000 0.5000
Te3 0.0000 0.5000 0.0000
Li1 0.5000 0.5000 0.5000
Ir1 0.0000 0.0000 0.0000